Below is an optimized crystal structure of AcHgAs2Pd5, with properties calculated at the GGA-PBE level.

Calculated values
As for the formation energy: -0.4684 eV/atom. The mass density comes out at 10.28 Mg/m³. As for the total magnetic moment: 0.00 μB per atom.

Cell: 4.790 4.790 7.808 Å, 90.00 90.00 90.00°
Sites, in units of the cell vectors:
Pd 0.500 0.000 0.751
Pd 0.500 0.500 0.500
Pd 0.000 0.500 0.249
Pd 0.000 0.500 0.751
Pd 0.500 0.000 0.249
Hg 0.000 0.000 0.000
As 0.500 0.500 0.833
As 0.500 0.500 0.167
Ac 0.000 0.000 0.500